A plane-wave DFT calculation with PBE-GGA was carried out for YIn3Os after structural relaxation.

Computed properties:
Density of states at the Fermi level: 2.8 states/eV per cell
ΔE_f: 0.2257 eV/atom

The structure in CIF format:
```
data_YIn3Os
_cell_length_a 5.123
_cell_length_b 5.123
_cell_length_c 5.123
_cell_angle_alpha 90.00
_cell_angle_beta 90.00
_cell_angle_gamma 90.00
_space_group_name_H-M_alt 'P 1'
_space_group_IT_number 1
_space_group_name_Hall 'P 1'
loop_
_atom_site_label
_atom_site_type_symbol
_atom_site_fract_x
_atom_site_fract_y
_atom_site_fract_z
Y1 Y 0.500 0.500 0.500
Os1 Os 0.000 0.000 0.000
In1 In 0.000 0.500 0.000
In2 In 0.000 0.000 0.500
In3 In 0.500 0.000 0.000
```

A plane-wave DFT calculation with PBE-GGA was carried out for Y5In2Os after structural relaxation.

Computed properties:
Density of states at the Fermi level: 10.2 states/eV per cell
ΔE_f: -0.3652 eV/atom

The structure in CIF format:
```
data_Y5In2Os
_cell_length_a 4.977
_cell_length_b 6.768
_cell_length_c 12.646
_cell_angle_alpha 90.00
_cell_angle_beta 90.00
_cell_angle_gamma 90.00
_space_group_name_H-M_alt 'P 1'
_space_group_IT_number 1
_space_group_name_Hall 'P 1'
loop_
_atom_site_label
_atom_site_type_symbol
_atom_site_fract_x
_atom_site_fract_y
_atom_site_fract_z
Y1 Y 0.000 0.000 0.500
Y2 Y 0.000 0.500 0.000
Y3 Y 0.000 0.885 0.213
Y4 Y 0.000 0.115 0.787
Y5 Y 0.000 0.615 0.713
Y6 Y 0.000 0.385 0.287
Y7 Y 0.500 0.671 0.411
Y8 Y 0.500 0.329 0.589
Y9 Y 0.500 0.829 0.911
Y10 Y 0.500 0.171 0.089
In1 In 0.500 0.620 0.155
In2 In 0.500 0.380 0.845
In3 In 0.500 0.880 0.655
In4 In 0.500 0.120 0.345
Os1 Os 0.000 0.500 0.500
Os2 Os 0.000 0.000 0.000
```

A plane-wave DFT calculation with PBE-GGA was carried out for ZnInOs2 after structural relaxation.

Computed properties:
Density of states at the Fermi level: 2.5 states/eV per cell
ΔE_f: 0.3644 eV/atom

The structure in CIF format:
```
data_ZnInOs2
_cell_length_a 3.702
_cell_length_b 2.849
_cell_length_c 6.743
_cell_angle_alpha 65.00
_cell_angle_beta 90.00
_cell_angle_gamma 90.00
_space_group_name_H-M_alt 'P 1'
_space_group_IT_number 1
_space_group_name_Hall 'P 1'
loop_
_atom_site_label
_atom_site_type_symbol
_atom_site_fract_x
_atom_site_fract_y
_atom_site_fract_z
In1 In 0.500 0.750 0.750
Os1 Os 0.000 0.966 0.034
Os2 Os 0.500 0.255 0.245
Zn1 Zn 0.000 0.530 0.470
```

A plane-wave DFT calculation with PBE-GGA was carried out for ZnIn2Os after structural relaxation.

Computed properties:
Density of states at the Fermi level: 1.7 states/eV per cell
ΔE_f: 0.3167 eV/atom

The structure in CIF format:
```
data_ZnIn2Os
_cell_length_a 3.519
_cell_length_b 3.519
_cell_length_c 5.828
_cell_angle_alpha 90.00
_cell_angle_beta 90.00
_cell_angle_gamma 90.00
_space_group_name_H-M_alt 'P 1'
_space_group_IT_number 1
_space_group_name_Hall 'P 1'
loop_
_atom_site_label
_atom_site_type_symbol
_atom_site_fract_x
_atom_site_fract_y
_atom_site_fract_z
In1 In 0.000 0.000 0.002
In2 In 0.000 0.000 0.498
Os1 Os 0.500 0.500 0.250
Zn1 Zn 0.500 0.500 0.750
```

A plane-wave DFT calculation with PBE-GGA was carried out for ZnIn2Os after structural relaxation.

Computed properties:
Density of states at the Fermi level: 3.5 states/eV per cell
ΔE_f: 0.4911 eV/atom

The structure in CIF format:
```
data_ZnIn2Os
_cell_length_a 2.918
_cell_length_b 2.918
_cell_length_c 10.447
_cell_angle_alpha 90.00
_cell_angle_beta 90.00
_cell_angle_gamma 115.92
_space_group_name_H-M_alt 'P 1'
_space_group_IT_number 1
_space_group_name_Hall 'P 1'
loop_
_atom_site_label
_atom_site_type_symbol
_atom_site_fract_x
_atom_site_fract_y
_atom_site_fract_z
In1 In 0.000 0.000 0.969
In2 In 0.500 0.500 0.293
Os1 Os 0.000 0.000 0.521
Zn1 Zn 0.500 0.500 0.717
```

A plane-wave DFT calculation with PBE-GGA was carried out for ZnInOs after structural relaxation.

Computed properties:
Density of states at the Fermi level: 2.5 states/eV per cell
ΔE_f: 0.4068 eV/atom

The structure in CIF format:
```
data_ZnInOs
_cell_length_a 5.103
_cell_length_b 5.103
_cell_length_c 5.103
_cell_angle_alpha 147.93
_cell_angle_beta 134.06
_cell_angle_gamma 57.13
_space_group_name_H-M_alt 'P 1'
_space_group_IT_number 1
_space_group_name_Hall 'P 1'
loop_
_atom_site_label
_atom_site_type_symbol
_atom_site_fract_x
_atom_site_fract_y
_atom_site_fract_z
In1 In 0.004 0.004 0.000
Os1 Os 0.683 0.683 0.000
Zn1 Zn 0.312 0.312 0.000
```

A plane-wave DFT calculation with PBE-GGA was carried out for ZnInOs2 after structural relaxation.

Computed properties:
Density of states at the Fermi level: 2.9 states/eV per cell
ΔE_f: 0.4945 eV/atom

The structure in CIF format:
```
data_ZnInOs2
_cell_length_a 4.434
_cell_length_b 2.841
_cell_length_c 5.145
_cell_angle_alpha 86.47
_cell_angle_beta 90.00
_cell_angle_gamma 90.00
_space_group_name_H-M_alt 'P 1'
_space_group_IT_number 1
_space_group_name_Hall 'P 1'
loop_
_atom_site_label
_atom_site_type_symbol
_atom_site_fract_x
_atom_site_fract_y
_atom_site_fract_z
In1 In 0.500 0.750 0.750
Os1 Os 0.000 0.007 0.033
Os2 Os 0.000 0.493 0.467
Zn1 Zn 0.500 0.250 0.250
```

A plane-wave DFT calculation with PBE-GGA was carried out for ZnIn2Os after structural relaxation.

Computed properties:
Density of states at the Fermi level: 1.2 states/eV per cell
ΔE_f: 0.3304 eV/atom

The structure in CIF format:
```
data_ZnIn2Os
_cell_length_a 3.347
_cell_length_b 3.347
_cell_length_c 6.775
_cell_angle_alpha 90.00
_cell_angle_beta 90.00
_cell_angle_gamma 90.00
_space_group_name_H-M_alt 'P 1'
_space_group_IT_number 1
_space_group_name_Hall 'P 1'
loop_
_atom_site_label
_atom_site_type_symbol
_atom_site_fract_x
_atom_site_fract_y
_atom_site_fract_z
In1 In 0.000 0.000 0.965
In2 In 0.500 0.500 0.294
Os1 Os 0.000 0.000 0.538
Zn1 Zn 0.500 0.500 0.703
```

A plane-wave DFT calculation with PBE-GGA was carried out for ZnIn2Os after structural relaxation.

Computed properties:
Density of states at the Fermi level: 3.2 states/eV per cell
ΔE_f: 0.5900 eV/atom

The structure in CIF format:
```
data_ZnIn2Os
_cell_length_a 4.687
_cell_length_b 4.687
_cell_length_c 4.687
_cell_angle_alpha 60.00
_cell_angle_beta 60.00
_cell_angle_gamma 60.00
_space_group_name_H-M_alt 'P 1'
_space_group_IT_number 1
_space_group_name_Hall 'P 1'
loop_
_atom_site_label
_atom_site_type_symbol
_atom_site_fract_x
_atom_site_fract_y
_atom_site_fract_z
In1 In 0.000 0.000 0.000
In2 In 0.250 0.250 0.250
Os1 Os 0.500 0.500 0.500
Zn1 Zn 0.750 0.750 0.750
```

A plane-wave DFT calculation with PBE-GGA was carried out for Zn2InOs after structural relaxation.

Computed properties:
Density of states at the Fermi level: 2.6 states/eV per cell
ΔE_f: 0.4337 eV/atom

The structure in CIF format:
```
data_Zn2InOs
_cell_length_a 2.844
_cell_length_b 2.844
_cell_length_c 10.021
_cell_angle_alpha 90.00
_cell_angle_beta 90.00
_cell_angle_gamma 120.35
_space_group_name_H-M_alt 'P 1'
_space_group_IT_number 1
_space_group_name_Hall 'P 1'
loop_
_atom_site_label
_atom_site_type_symbol
_atom_site_fract_x
_atom_site_fract_y
_atom_site_fract_z
In1 In 0.000 0.000 0.521
Os1 Os 0.500 0.500 0.771
Zn1 Zn 0.000 0.000 0.989
Zn2 Zn 0.500 0.500 0.218
```

A plane-wave DFT calculation with PBE-GGA was carried out for ZnInOs2 after structural relaxation.

Computed properties:
Density of states at the Fermi level: 4.0 states/eV per cell
ΔE_f: 0.5482 eV/atom

The structure in CIF format:
```
data_ZnInOs2
_cell_length_a 3.156
_cell_length_b 3.156
_cell_length_c 6.263
_cell_angle_alpha 90.00
_cell_angle_beta 90.00
_cell_angle_gamma 90.00
_space_group_name_H-M_alt 'P 1'
_space_group_IT_number 1
_space_group_name_Hall 'P 1'
loop_
_atom_site_label
_atom_site_type_symbol
_atom_site_fract_x
_atom_site_fract_y
_atom_site_fract_z
In1 In 0.500 0.500 0.750
Os1 Os 0.000 0.000 0.030
Os2 Os 0.000 0.000 0.470
Zn1 Zn 0.500 0.500 0.250
```

A plane-wave DFT calculation with PBE-GGA was carried out for ZnInOs3 after structural relaxation.

Computed properties:
Density of states at the Fermi level: 6.6 states/eV per cell
ΔE_f: 2.8690 eV/atom

The structure in CIF format:
```
data_ZnInOs3
_cell_length_a 4.853
_cell_length_b 4.853
_cell_length_c 4.853
_cell_angle_alpha 90.00
_cell_angle_beta 90.00
_cell_angle_gamma 90.00
_space_group_name_H-M_alt 'P 1'
_space_group_IT_number 1
_space_group_name_Hall 'P 1'
loop_
_atom_site_label
_atom_site_type_symbol
_atom_site_fract_x
_atom_site_fract_y
_atom_site_fract_z
Zn1 Zn 0.500 0.500 0.500
Os1 Os 0.000 0.500 0.000
Os2 Os 0.000 0.000 0.500
Os3 Os 0.500 0.000 0.000
In1 In 0.000 0.000 0.000
```